An optimized crystal structure of Ni2SbO4, computed with GGA+U.

Cell and atoms, written as POSCAR:
```
Ni2SbO4
1.0
-1.9550 1.9550 5.7391
1.9550 -1.9550 5.7391
1.9550 1.9550 -5.7391
Ni Sb O
2 1 4
direct
0.1622 0.1622 0.0000
0.8378 0.8378 0.0000
0.5000 0.5000 0.0000
0.0000 0.5000 0.5000
0.3298 0.3298 0.0000
0.5000 0.0000 0.5000
0.6702 0.6702 0.0000
```

* total moment: 3.04 μB per formula unit
* mass density: 5.7 g cm⁻³
* polymorph energy (0 for the lowest one): 477.0 meV per atom